Record 1
{"formula": "NpPa2GaN5", "functional": "GGA-PBE", "state": "relaxed", "dos_ef_per_ev_fu": 7.78, "raw_formation_energy_mev_per_atom": -1074, "lattice": [[1.719, -6.805, 0.000], [1.719, 6.805, 0.000], [0.000, 0.000, 10.865]], "species": ["Np", "Np", "Pa", "Pa", "Pa", "Pa", "Ga", "Ga", "N", "N", "N", "N", "N", "N", "N", "N", "N", "N"], "frac_coords": [[0.217, 0.783, 0.500], [0.783, 0.217, 0.000], [0.128, 0.872, 0.218], [0.132, 0.868, 0.769], [0.868, 0.132, 0.269], [0.872, 0.128, 0.718], [0.499, 0.501, 0.997], [0.501, 0.499, 0.497], [0.053, 0.947, 0.567], [0.288, 0.712, 0.154], [0.295, 0.705, 0.844], [0.370, 0.630, 0.576], [0.481, 0.519, 0.314], [0.519, 0.481, 0.814], [0.630, 0.370, 0.076], [0.705, 0.295, 0.344], [0.712, 0.288, 0.654], [0.947, 0.053, 0.067]]}

=====

Record 2
{"formula": "Th2NpGaN5", "functional": "GGA-PBE", "state": "relaxed", "dos_ef_per_ev_fu": 4.93, "raw_formation_energy_mev_per_atom": -1127, "lattice": [[1.733, -7.014, 0.000], [1.733, 7.014, 0.000], [0.000, 0.000, 10.509]], "species": ["Th", "Th", "Th", "Th", "Np", "Np", "Ga", "Ga", "N", "N", "N", "N", "N", "N", "N", "N", "N", "N"], "frac_coords": [[0.116, 0.884, 0.500], [0.135, 0.865, 0.097], [0.865, 0.135, 0.597], [0.884, 0.116, 0.000], [0.205, 0.795, 0.808], [0.795, 0.205, 0.308], [0.491, 0.509, 0.276], [0.509, 0.491, 0.776], [0.047, 0.953, 0.852], [0.287, 0.713, 0.454], [0.304, 0.696, 0.163], [0.362, 0.638, 0.815], [0.493, 0.507, 0.589], [0.507, 0.493, 0.089], [0.638, 0.362, 0.315], [0.696, 0.304, 0.663], [0.713, 0.287, 0.954], [0.953, 0.047, 0.352]]}

=====

Record 3
{"formula": "Ga3NO3", "functional": "GGA-PBE", "state": "relaxed", "e_above_lowest_polymorph_mev_per_atom": 25, "dos_ef_per_ev_fu": 0.81, "raw_formation_energy_mev_per_atom": -1391, "lattice": [[8.324, 0.000, 0.000], [-4.162, 7.209, 0.000], [0.000, 0.000, 3.148]], "species": ["Ga", "Ga", "Ga", "Ga", "Ga", "Ga", "N", "N", "O", "O", "O", "O", "O", "O"], "frac_coords": [[0.177, 0.764, 0.250], [0.236, 0.413, 0.250], [0.413, 0.177, 0.750], [0.587, 0.823, 0.250], [0.764, 0.587, 0.750], [0.823, 0.236, 0.750], [0.333, 0.667, 0.250], [0.667, 0.333, 0.750], [0.029, 0.710, 0.750], [0.290, 0.319, 0.750], [0.319, 0.029, 0.250], [0.681, 0.971, 0.750], [0.710, 0.681, 0.250], [0.971, 0.290, 0.250]]}

=====

Record 4
{"formula": "Ga11NO15", "functional": "GGA-PBE", "state": "relaxed", "raw_formation_energy_mev_per_atom": -1706, "lattice": [[5.876, 0.000, 0.000], [0.022, 5.973, 0.000], [0.252, 0.025, 8.289]], "species": ["Ga", "Ga", "Ga", "Ga", "Ga", "Ga", "Ga", "Ga", "Ga", "Ga", "Ga", "N", "O", "O", "O", "O", "O", "O", "O", "O", "O", "O", "O", "O", "O", "O", "O"], "frac_coords": [[0.000, 0.000, 0.000], [0.000, 0.487, 0.999], [0.021, 0.249, 0.615], [0.044, 0.737, 0.351], [0.274, 0.241, 0.235], [0.278, 0.751, 0.735], [0.499, 0.744, 0.120], [0.524, 0.230, 0.849], [0.543, 0.490, 0.471], [0.546, 0.002, 0.481], [0.766, 0.750, 0.736], [0.522, 0.968, 0.720], [0.021, 0.519, 0.746], [0.022, 0.978, 0.744], [0.039, 0.482, 0.226], [0.041, 0.998, 0.228], [0.244, 0.742, 0.977], [0.252, 0.242, 0.989], [0.289, 0.247, 0.480], [0.292, 0.732, 0.493], [0.506, 0.484, 0.241], [0.506, 0.999, 0.249], [0.522, 0.505, 0.726], [0.762, 0.250, 0.494], [0.772, 0.737, 0.485], [0.776, 0.743, 0.985], [0.789, 0.244, 0.970]]}

=====

Record 5
{"formula": "Ga3NO3", "functional": "GGA-PBE", "state": "relaxed", "e_above_lowest_polymorph_mev_per_atom": 0, "raw_formation_energy_mev_per_atom": -1415, "lattice": [[8.112, 0.000, 0.000], [0.000, 6.413, 0.000], [-4.035, 0.000, 7.170]], "species": ["Ga", "Ga", "Ga", "Ga", "Ga", "Ga", "Ga", "Ga", "Ga", "Ga", "Ga", "Ga", "N", "N", "N", "N", "O", "O", "O", "O", "O", "O", "O", "O", "O", "O", "O", "O"], "frac_coords": [[0.000, 0.000, 0.000], [0.000, 0.500, 0.000], [0.065, 0.000, 0.632], [0.069, 0.500, 0.628], [0.227, 0.250, 0.382], [0.227, 0.750, 0.382], [0.422, 0.500, 0.053], [0.430, 0.000, 0.051], [0.589, 0.243, 0.813], [0.589, 0.757, 0.813], [0.665, 0.243, 0.460], [0.665, 0.757, 0.460], [0.148, 0.500, 0.254], [0.153, 0.000, 0.256], [0.535, 0.000, 0.897], [0.803, 0.000, 0.512], [0.154, 0.252, 0.578], [0.154, 0.748, 0.578], [0.161, 0.500, 0.887], [0.164, 0.000, 0.895], [0.494, 0.255, 0.193], [0.494, 0.745, 0.193], [0.497, 0.263, 0.555], [0.497, 0.737, 0.555], [0.535, 0.500, 0.897], [0.801, 0.500, 0.511], [0.856, 0.253, 0.900], [0.856, 0.747, 0.900]]}

=====

Record 6
{"formula": "Ga3NO", "functional": "GGA-PBE", "state": "relaxed", "e_above_lowest_polymorph_mev_per_atom": 0, "dos_ef_per_ev_fu": 1.63, "raw_formation_energy_mev_per_atom": 509, "lattice": [[4.290, 0.000, 0.000], [0.000, 4.290, 0.000], [0.000, 0.000, 4.290]], "species": ["Ga", "Ga", "Ga", "N", "O"], "frac_coords": [[0.000, 0.000, 0.500], [0.000, 0.500, 0.000], [0.500, 0.000, 0.000], [0.000, 0.000, 0.000], [0.500, 0.500, 0.500]]}

=====

Record 7
{"formula": "Ga3NO3", "functional": "GGA-PBE", "state": "relaxed", "e_above_lowest_polymorph_mev_per_atom": 14, "raw_formation_energy_mev_per_atom": -1401, "lattice": [[6.158, 0.000, 0.000], [0.209, 8.370, 0.000], [0.070, 4.151, 7.316]], "species": ["Ga", "Ga", "Ga", "Ga", "Ga", "Ga", "Ga", "Ga", "Ga", "Ga", "Ga", "Ga", "N", "N", "N", "N", "O", "O", "O", "O", "O", "O", "O", "O", "O", "O", "O", "O"], "frac_coords": [[0.000, 0.000, 0.000], [0.002, 0.579, 0.084], [0.011, 0.669, 0.430], [0.205, 0.844, 0.670], [0.216, 0.186, 0.253], [0.224, 0.259, 0.601], [0.504, 0.832, 0.340], [0.519, 0.930, 0.917], [0.525, 0.486, 0.269], [0.697, 0.327, 0.684], [0.720, 0.264, 0.089], [0.726, 0.680, 0.750], [0.468, 0.401, 0.516], [0.742, 0.086, 0.876], [0.769, 0.420, 0.184], [0.985, 0.726, 0.830], [0.018, 0.748, 0.181], [0.171, 0.100, 0.503], [0.246, 0.778, 0.479], [0.247, 0.065, 0.851], [0.265, 0.434, 0.171], [0.485, 0.811, 0.775], [0.487, 0.093, 0.216], [0.503, 0.753, 0.168], [0.657, 0.434, 0.838], [0.751, 0.756, 0.490], [0.981, 0.416, 0.572], [0.999, 0.131, 0.135]]}

=====

Record 8
{"formula": "Ga3NO3", "functional": "GGA-PBE", "state": "relaxed", "e_above_lowest_polymorph_mev_per_atom": 8, "raw_formation_energy_mev_per_atom": -1407, "lattice": [[6.155, 0.000, 0.000], [0.103, 8.377, 0.000], [0.085, 4.147, 7.340]], "species": ["Ga", "Ga", "Ga", "Ga", "Ga", "Ga", "Ga", "Ga", "Ga", "Ga", "Ga", "Ga", "N", "N", "N", "N", "O", "O", "O", "O", "O", "O", "O", "O", "O", "O", "O", "O"], "frac_coords": [[0.000, 0.000, 0.000], [0.000, 0.397, 0.945], [0.006, 0.335, 0.593], [0.208, 0.169, 0.337], [0.214, 0.748, 0.413], [0.218, 0.817, 0.765], [0.518, 0.475, 0.013], [0.519, 0.830, 0.081], [0.520, 0.412, 0.428], [0.713, 0.653, 0.599], [0.717, 0.001, 0.674], [0.725, 0.077, 0.252], [0.738, 0.947, 0.124], [0.741, 0.254, 0.559], [0.741, 0.526, 0.848], [0.974, 0.222, 0.190], [0.088, 0.245, 0.837], [0.221, 0.908, 0.511], [0.237, 0.867, 0.159], [0.242, 0.562, 0.892], [0.245, 0.293, 0.474], [0.472, 0.606, 0.488], [0.472, 0.894, 0.830], [0.473, 0.230, 0.206], [0.531, 0.573, 0.174], [0.711, 0.908, 0.510], [0.976, 0.594, 0.507], [0.978, 0.915, 0.822]]}

=====

Record 9
{"formula": "Ga3NO3", "functional": "GGA-PBE", "state": "relaxed", "e_above_lowest_polymorph_mev_per_atom": 15, "raw_formation_energy_mev_per_atom": -1400, "lattice": [[5.171, -2.961, 0.000], [5.171, 2.961, 0.000], [-3.478, 0.000, 9.748]], "species": ["Ga", "Ga", "Ga", "Ga", "Ga", "Ga", "Ga", "Ga", "Ga", "Ga", "Ga", "Ga", "N", "N", "N", "N", "O", "O", "O", "O", "O", "O", "O", "O", "O", "O", "O", "O"], "frac_coords": [[0.000, 0.000, 0.000], [0.000, 0.500, 0.000], [0.000, 0.500, 0.500], [0.052, 0.052, 0.696], [0.249, 0.249, 0.256], [0.439, 0.439, 0.809], [0.500, 0.000, 0.000], [0.500, 0.000, 0.500], [0.500, 0.500, 0.500], [0.561, 0.561, 0.191], [0.751, 0.751, 0.744], [0.948, 0.948, 0.304], [0.131, 0.131, 0.898], [0.147, 0.147, 0.385], [0.853, 0.853, 0.615], [0.869, 0.869, 0.102], [0.113, 0.628, 0.873], [0.142, 0.614, 0.377], [0.366, 0.366, 0.129], [0.372, 0.887, 0.127], [0.377, 0.377, 0.615], [0.386, 0.858, 0.623], [0.614, 0.142, 0.377], [0.623, 0.623, 0.385], [0.628, 0.113, 0.873], [0.634, 0.634, 0.871], [0.858, 0.386, 0.623], [0.887, 0.372, 0.127]]}

=====

Record 10
{"formula": "Ga3NO3", "functional": "GGA-PBE", "state": "relaxed", "e_above_lowest_polymorph_mev_per_atom": 16, "raw_formation_energy_mev_per_atom": -1399, "lattice": [[6.175, 0.000, 0.000], [0.083, 8.406, 0.000], [0.075, 4.197, 7.285]], "species": ["Ga", "Ga", "Ga", "Ga", "Ga", "Ga", "Ga", "Ga", "Ga", "Ga", "Ga", "Ga", "N", "N", "N", "N", "O", "O", "O", "O", "O", "O", "O", "O", "O", "O", "O", "O"], "frac_coords": [[0.000, 0.000, 0.000], [0.000, 0.411, 0.934], [0.282, 0.990, 0.675], [0.292, 0.085, 0.248], [0.298, 0.648, 0.594], [0.477, 0.479, 0.013], [0.485, 0.839, 0.083], [0.493, 0.417, 0.413], [0.775, 0.163, 0.335], [0.776, 0.733, 0.421], [0.783, 0.824, 0.760], [0.989, 0.341, 0.591], [0.251, 0.546, 0.846], [0.264, 0.970, 0.109], [0.509, 0.246, 0.225], [0.531, 0.589, 0.493], [0.019, 0.929, 0.813], [0.020, 0.226, 0.186], [0.033, 0.592, 0.501], [0.259, 0.251, 0.555], [0.276, 0.910, 0.506], [0.453, 0.592, 0.160], [0.532, 0.913, 0.821], [0.758, 0.569, 0.894], [0.766, 0.876, 0.157], [0.772, 0.287, 0.474], [0.792, 0.906, 0.507], [0.924, 0.252, 0.840]]}

=====

Record 11
{"formula": "Ga3NO3", "functional": "GGA-PBE", "state": "relaxed", "e_above_lowest_polymorph_mev_per_atom": 4, "dos_ef_per_ev_fu": 0.00, "raw_formation_energy_mev_per_atom": -1411, "lattice": [[2.960, 1.709, 4.918], [-2.960, 1.709, 4.918], [0.000, -3.417, 4.918]], "species": ["Ga", "Ga", "Ga", "Ga", "Ga", "Ga", "N", "N", "O", "O", "O", "O", "O", "O"], "frac_coords": [[0.000, 0.000, 0.000], [0.000, 0.000, 0.500], [0.000, 0.500, 0.000], [0.362, 0.362, 0.362], [0.500, 0.000, 0.000], [0.638, 0.638, 0.638], [0.232, 0.232, 0.232], [0.768, 0.768, 0.768], [0.240, 0.240, 0.760], [0.240, 0.760, 0.240], [0.240, 0.760, 0.760], [0.760, 0.240, 0.240], [0.760, 0.240, 0.760], [0.760, 0.760, 0.240]]}

=====

Record 12
{"formula": "Ga3NO3", "functional": "GGA-PBE", "state": "relaxed", "e_above_lowest_polymorph_mev_per_atom": 0, "raw_formation_energy_mev_per_atom": -1415, "lattice": [[8.245, 0.000, 0.000], [-4.122, 7.140, 0.000], [0.000, 0.000, 6.369]], "species": ["Ga", "Ga", "Ga", "Ga", "Ga", "Ga", "Ga", "Ga", "Ga", "Ga", "Ga", "Ga", "N", "N", "N", "N", "O", "O", "O", "O", "O", "O", "O", "O", "O", "O", "O", "O"], "frac_coords": [[0.071, 0.499, 0.243], [0.071, 0.499, 0.757], [0.255, 0.158, 0.500], [0.263, 0.160, 0.000], [0.429, 0.929, 0.243], [0.429, 0.929, 0.757], [0.501, 0.571, 0.243], [0.501, 0.571, 0.757], [0.840, 0.103, 0.000], [0.842, 0.097, 0.500], [0.897, 0.737, 0.000], [0.903, 0.745, 0.500], [0.000, 0.000, 0.500], [0.004, 0.360, 0.000], [0.356, 0.996, 0.000], [0.640, 0.644, 0.000], [0.000, 0.000, 0.000], [0.333, 0.667, 0.269], [0.333, 0.667, 0.731], [0.335, 0.306, 0.253], [0.335, 0.306, 0.747], [0.378, 0.012, 0.500], [0.634, 0.622, 0.500], [0.694, 0.029, 0.253], [0.694, 0.029, 0.747], [0.971, 0.665, 0.253], [0.971, 0.665, 0.747], [0.988, 0.366, 0.500]]}

=====

Record 13
{"formula": "GaOsNO2", "functional": "GGA-PBE", "state": "relaxed", "dos_ef_per_ev_fu": 3.41, "raw_formation_energy_mev_per_atom": -207, "lattice": [[3.943, 0.000, 0.000], [0.000, 3.943, 0.000], [0.000, 0.000, 3.849]], "species": ["Ga", "Os", "N", "O", "O"], "frac_coords": [[0.000, 0.000, 0.000], [0.500, 0.500, 0.500], [0.500, 0.500, 0.000], [0.000, 0.500, 0.500], [0.500, 0.000, 0.500]]}

=====

Record 14
{"formula": "GaOsN2O", "functional": "GGA-PBE", "state": "relaxed", "dos_ef_per_ev_fu": 4.23, "raw_formation_energy_mev_per_atom": 1497, "lattice": [[3.806, 0.000, 0.000], [0.000, 3.806, 0.000], [0.000, 0.000, 3.732]], "species": ["Ga", "Os", "N", "N", "O"], "frac_coords": [[0.000, 0.000, 0.000], [0.500, 0.500, 0.500], [0.000, 0.500, 0.000], [0.500, 0.000, 0.000], [0.000, 0.000, 0.500]]}

=====

Record 15
{"formula": "GaOsNO2", "functional": "GGA-PBE", "state": "relaxed", "dos_ef_per_ev_fu": 3.77, "raw_formation_energy_mev_per_atom": 789, "lattice": [[3.712, 0.000, 0.000], [0.000, 3.712, 0.000], [0.000, 0.000, 4.043]], "species": ["Ga", "Os", "N", "O", "O"], "frac_coords": [[0.000, 0.000, 0.000], [0.500, 0.500, 0.500], [0.000, 0.000, 0.500], [0.000, 0.500, 0.000], [0.500, 0.000, 0.000]]}

=====

Record 16
{"formula": "GaOsN2O", "functional": "GGA-PBE", "state": "relaxed", "dos_ef_per_ev_fu": 4.64, "raw_formation_energy_mev_per_atom": 368, "lattice": [[3.865, 0.000, 0.000], [0.000, 3.865, 0.000], [0.000, 0.000, 3.998]], "species": ["Ga", "Os", "N", "N", "O"], "frac_coords": [[0.000, 0.000, 0.000], [0.500, 0.500, 0.500], [0.000, 0.500, 0.500], [0.500, 0.000, 0.500], [0.500, 0.500, 0.000]]}

=====

Record 17
{"formula": "GaPbNO2", "functional": "GGA-PBE", "state": "relaxed", "dos_ef_per_ev_fu": 1.72, "raw_formation_energy_mev_per_atom": 509, "lattice": [[4.404, 0.000, 0.000], [0.000, 4.404, 0.000], [0.000, 0.000, 4.462]], "species": ["Ga", "Pb", "N", "O", "O"], "frac_coords": [[0.000, 0.000, 0.000], [0.500, 0.500, 0.500], [0.500, 0.500, 0.000], [0.000, 0.500, 0.500], [0.500, 0.000, 0.500]]}